Entry 1:
The following is a GGA-PBE calculation of a relaxed structure of InCo2As, from Alexandria.

Calculated volume (Å³ per atom): 15.26
Final energy (eV per cell): -41.8
Energy above the lowest structure with this stoichiometry (eV per atom): 0.150
Calculated formation energy (eV/f.u.): 0.7

The structure in CIF format:
```
data_InCo2As
_chemical_formula_sum 'In2 Co4 As2'
_symmetry_space_group_name_H-M 'A m m 2'
_symmetry_Int_Tables_number 38
_cell_length_a 4.406
_cell_length_b 2.987
_cell_length_c 9.274
_cell_angle_alpha 90.00
_cell_angle_beta 90.00
_cell_angle_gamma 90.00
loop_
_symmetry_equiv_pos_as_xyz
'x,y,z'
'-x,-y,z'
'-x,y,z'
'x,-y,z'
'x,y+1/2,z+1/2'
'-x,-y+1/2,z+1/2'
'-x,y+1/2,z+1/2'
'x,-y+1/2,z+1/2'
loop_
_atom_site_label
_atom_site_type_symbol
_atom_site_fract_x
_atom_site_fract_y
_atom_site_fract_z
In1 In 0.000 0.000 0.000
Co1 Co 0.000 0.000 0.737
Co2 Co 0.500 0.000 0.368
As1 As 0.500 0.000 0.670
```


Entry 2:
The following is a GGA-PBE calculation of a relaxed structure of NbTeOsW2, from Alexandria.

Calculated volume (Å³ per atom): 22.26
Final energy (eV per cell): -37.1
Formation energy without anion corrections (meV/atom): 2642

The structure in CIF format:
```
data_NbTeOsW2
_chemical_formula_sum 'Nb1 Te1 Os1 W2'
_symmetry_space_group_name_H-M 'P 4/m m m'
_symmetry_Int_Tables_number 123
_symmetry_space_group_name_Hall '-P 4 2'
_cell_length_a 4.783
_cell_length_b 4.783
_cell_length_c 4.864
_cell_angle_alpha 90.00
_cell_angle_beta 90.00
_cell_angle_gamma 90.00
loop_
_atom_site_label
_atom_site_type_symbol
_atom_site_fract_x
_atom_site_fract_y
_atom_site_fract_z
Nb1 Nb 0.000 0.000 0.000
Te1 Te 0.000 0.000 0.500
Os1 Os 0.500 0.500 0.000
W1 W 0.000 0.500 0.500
```


Entry 3:
The following is a GGA-PBE calculation of a relaxed structure of YBe3Co2, from Alexandria.

Calculated volume (Å³ per atom): 12.28
Final energy (eV per cell): -133.2
Calculated formation energy (eV/f.u.): -1.4

The structure in CIF format:
```
data_YBe3Co2
_chemical_formula_sum 'Y4 Be12 Co8'
_symmetry_space_group_name_H-M 'C m c m'
_symmetry_Int_Tables_number 63
_symmetry_space_group_name_Hall '-C 2c 2'
_cell_length_a 8.708
_cell_length_b 6.646
_cell_length_c 5.091
_cell_angle_alpha 90.00
_cell_angle_beta 90.00
_cell_angle_gamma 90.00
loop_
_atom_site_label
_atom_site_type_symbol
_atom_site_fract_x
_atom_site_fract_y
_atom_site_fract_z
Y1 Y 0.000 0.173 0.250
Be1 Be 0.000 0.419 0.750
Be2 Be 0.191 0.222 0.750
Co1 Co 0.197 0.500 0.000
```


Entry 4:
The following is a GGA-PBE calculation of a relaxed structure of Cs3Sn2, from Alexandria.

Calculated volume (Å³ per atom): 50.48
Final energy (eV per cell): -89.4
Calculated formation energy (eV/f.u.): -0.6

The structure in CIF format:
```
data_Cs3Sn2
_chemical_formula_sum 'Cs24 Sn16'
_symmetry_space_group_name_H-M 'F d d 2'
_symmetry_Int_Tables_number 43
_symmetry_space_group_name_Hall 'F 2 -2d'
_cell_length_a 15.233
_cell_length_b 27.292
_cell_length_c 4.857
_cell_angle_alpha 90.00
_cell_angle_beta 90.00
_cell_angle_gamma 90.00
loop_
_atom_site_label
_atom_site_type_symbol
_atom_site_fract_x
_atom_site_fract_y
_atom_site_fract_z
Cs1 Cs 0.000 0.000 0.000
Cs2 Cs 0.098 0.119 0.403
Sn1 Sn 0.031 0.224 0.842
```


Entry 5:
The following is a GGA-PBE calculation of a relaxed structure of Be2TlReSe, from Alexandria.

Calculated volume (Å³ per atom): 19.97
Final energy (eV per cell): -18.2
Formation energy without anion corrections (meV/atom): 1517

The structure in CIF format:
```
data_Be2TlReSe
_chemical_formula_sum 'Be2 Tl1 Re1 Se1'
_symmetry_space_group_name_H-M 'P 4/m m m'
_symmetry_Int_Tables_number 123
_symmetry_space_group_name_Hall '-P 4 2'
_cell_length_a 4.128
_cell_length_b 4.128
_cell_length_c 5.860
_cell_angle_alpha 90.00
_cell_angle_beta 90.00
_cell_angle_gamma 90.00
loop_
_atom_site_label
_atom_site_type_symbol
_atom_site_fract_x
_atom_site_fract_y
_atom_site_fract_z
Be1 Be 0.000 0.500 0.000
Tl1 Tl 0.000 0.000 0.500
Re1 Re 0.500 0.500 0.500
Se1 Se 0.000 0.000 0.000
```


Entry 6:
The following is a GGA-PBE calculation of a relaxed structure of ZnCrGe3, from Alexandria.

Calculated volume (Å³ per atom): 21.32
Final energy (eV per cell): -18.3
Energy above the lowest structure with this stoichiometry (eV per atom): 1.021
Calculated formation energy (eV/f.u.): 6.4

The structure in CIF format:
```
data_ZnCrGe3
_chemical_formula_sum 'Zn1 Cr1 Ge3'
_symmetry_space_group_name_H-M 'P m -3 m'
_symmetry_Int_Tables_number 221
_symmetry_space_group_name_Hall '-P 4 2 3'
_cell_length_a 4.741
_cell_length_b 4.741
_cell_length_c 4.741
_cell_angle_alpha 90.00
_cell_angle_beta 90.00
_cell_angle_gamma 90.00
loop_
_atom_site_label
_atom_site_type_symbol
_atom_site_fract_x
_atom_site_fract_y
_atom_site_fract_z
Zn1 Zn 0.000 0.000 0.000
Cr1 Cr 0.500 0.500 0.500
Ge1 Ge 0.000 0.000 0.500
```